Record 1
Compound: InIBr
Source: Alexandria
Functional: GGA-PBE
Structure: relaxed

As for the crystal system: triclinic. For the formation energy without anion corrections, the calculation gives -13.990 kcal/mol of atoms.

Cell and atoms, written as CIF:
```
data_InIBr
_cell_length_a 6.0053
_cell_length_b 6.3427
_cell_length_c 7.6324
_cell_angle_alpha 68.77
_cell_angle_beta 78.92
_cell_angle_gamma 75.65
_space_group_name_H-M_alt 'P -1'
_space_group_IT_number 2
loop_
_space_group_symop_operation_xyz
'x,y,z'
'-x,-y,-z'
loop_
_atom_site_label
_atom_site_type_symbol
_atom_site_fract_x
_atom_site_fract_y
_atom_site_fract_z
_atom_site_occupancy
In1 In 0.1474 0.1445 0.0021 1
I1 I 0.0870 0.3766 0.2675 1
Br1 Br 0.4798 0.7947 0.2438 1
```



Record 2
Compound: InIBr2
Source: Alexandria
Functional: GGA-PBE
Structure: relaxed

As for the crystal system: monoclinic. For the formation energy without anion corrections, the calculation gives -15.462 kcal/mol of atoms. The polymorph energy (0 for the lowest one) is 12 kJ/mol of formula units.

Cell and atoms, written as CIF:
```
data_InIBr2
_cell_length_a 6.9329
_cell_length_b 6.5409
_cell_length_c 17.7557
_cell_angle_alpha 90.00
_cell_angle_beta 112.98
_cell_angle_gamma 90.00
_space_group_name_H-M_alt 'P 1 21/c 1'
_space_group_IT_number 14
loop_
_space_group_symop_operation_xyz
'x,y,z'
'-x,-y,-z'
'-x,y+1/2,-z+1/2'
'x,-y+1/2,z+1/2'
loop_
_atom_site_label
_atom_site_type_symbol
_atom_site_fract_x
_atom_site_fract_y
_atom_site_fract_z
_atom_site_occupancy
In1 In 0.0998 0.9996 0.3500 1
I1 I 0.2457 0.2495 0.2503 1
Br1 Br 0.0680 0.7347 0.0833 1
Br2 Br 0.4010 0.7359 0.9173 1
```



Record 3
Compound: In2I2Br
Source: Alexandria
Functional: GGA-PBE
Structure: relaxed

As for the crystal system: monoclinic. For the formation energy without anion corrections, the calculation gives -10.214 kcal/mol of atoms. The polymorph energy (0 for the lowest one) is 47 kJ/mol of formula units.

Cell and atoms, written as CIF:
```
data_In2I2Br
_cell_length_a 12.7120
_cell_length_b 4.2717
_cell_length_c 8.0314
_cell_angle_alpha 90.00
_cell_angle_beta 117.11
_cell_angle_gamma 90.00
_space_group_name_H-M_alt 'C 1 2/m 1'
_space_group_IT_number 12
loop_
_space_group_symop_operation_xyz
'x,y,z'
'-x,-y,-z'
'-x,y,-z'
'x,-y,z'
'x+1/2,y+1/2,z'
'-x+1/2,-y+1/2,-z'
'-x+1/2,y+1/2,-z'
'x+1/2,-y+1/2,z'
loop_
_atom_site_label
_atom_site_type_symbol
_atom_site_fract_x
_atom_site_fract_y
_atom_site_fract_z
_atom_site_occupancy
In1 In 0.0646 0.0000 0.3074 1
I1 I 0.1758 0.5000 0.6568 1
Br1 Br 0.0000 0.5000 0.0000 1
```



Record 4
Compound: In5I12Br3
Source: Alexandria
Functional: GGA-PBE
Structure: relaxed

As for the crystal system: cubic. For the formation energy without anion corrections, the calculation gives -5.369 kcal/mol of atoms.

Cell and atoms, written as CIF:
```
data_In5I12Br3
_cell_length_a 19.0151
_cell_length_b 19.0151
_cell_length_c 19.0151
_cell_angle_alpha 90.00
_cell_angle_beta 90.00
_cell_angle_gamma 90.00
_space_group_name_H-M_alt 'I a -3 d'
_space_group_IT_number 230
_space_group_name_Hall '-I 4bd 2c 3'
loop_
_atom_site_label
_atom_site_type_symbol
_atom_site_fract_x
_atom_site_fract_y
_atom_site_fract_z
_atom_site_occupancy
In1 In 0.0000 0.0000 0.0000 1
In2 In 0.0000 0.2500 0.3750 1
I1 I 0.0404 0.0646 0.6465 1
Br1 Br 0.0000 0.2500 0.1250 1
```



Record 5
Compound: InIBr
Source: Alexandria
Functional: GGA-PBE
Structure: relaxed

As for the crystal system: monoclinic. For the formation energy without anion corrections, the calculation gives -14.595 kcal/mol of atoms.

Cell and atoms, written as CIF:
```
data_InIBr
_cell_length_a 11.2206
_cell_length_b 8.5513
_cell_length_c 7.5818
_cell_angle_alpha 90.00
_cell_angle_beta 128.80
_cell_angle_gamma 90.00
_space_group_name_H-M_alt 'C 1 2 1'
_space_group_IT_number 5
loop_
_space_group_symop_operation_xyz
'x,y,z'
'-x,y,-z'
'x+1/2,y+1/2,z'
'-x+1/2,y+1/2,-z'
loop_
_atom_site_label
_atom_site_type_symbol
_atom_site_fract_x
_atom_site_fract_y
_atom_site_fract_z
_atom_site_occupancy
In1 In 0.0000 0.0000 0.0000 1
In2 In 0.0000 0.4534 0.5000 1
I1 I 0.1755 0.2803 0.8929 1
Br1 Br 0.1854 0.6256 0.4968 1
```



Record 6
Compound: In3I2Br
Source: Alexandria
Functional: GGA-PBE
Structure: relaxed

As for the crystal system: tetragonal. For the formation energy without anion corrections, the calculation gives -11.556 kcal/mol of atoms.

Cell and atoms, written as CIF:
```
data_In3I2Br
_cell_length_a 5.0828
_cell_length_b 5.0828
_cell_length_c 20.4385
_cell_angle_alpha 90.00
_cell_angle_beta 90.00
_cell_angle_gamma 90.00
_space_group_name_H-M_alt 'I 4/m m m'
_space_group_IT_number 139
_space_group_name_Hall '-I 4 2'
loop_
_atom_site_label
_atom_site_type_symbol
_atom_site_fract_x
_atom_site_fract_y
_atom_site_fract_z
_atom_site_occupancy
In1 In 0.0000 0.0000 0.0000 1
In2 In 0.0000 0.0000 0.3397 1
I1 I 0.0000 0.0000 0.1679 1
Br1 Br 0.0000 0.0000 0.5000 1
```



Record 7
Compound: InIBr2
Source: Alexandria
Functional: GGA-PBE
Structure: relaxed

As for the crystal system: triclinic. For the formation energy without anion corrections, the calculation gives -16.146 kcal/mol of atoms. The polymorph energy (0 for the lowest one) is 1 kJ/mol of formula units.

Cell and atoms, written as CIF:
```
data_InIBr2
_cell_length_a 7.0684
_cell_length_b 7.0694
_cell_length_c 8.1794
_cell_angle_alpha 65.38
_cell_angle_beta 66.74
_cell_angle_gamma 60.86
_space_group_name_H-M_alt 'P 1'
_space_group_IT_number 1
loop_
_space_group_symop_operation_xyz
'x,y,z'
loop_
_atom_site_label
_atom_site_type_symbol
_atom_site_fract_x
_atom_site_fract_y
_atom_site_fract_z
_atom_site_occupancy
In1 In 0.0000 0.0000 0.0000 1
In2 In 0.3318 0.3310 0.0006 1
I1 I 0.0856 0.7455 0.7557 1
I2 I 0.5925 0.9304 0.2443 1
Br1 Br 0.2436 0.5934 0.2129 1
Br2 Br 0.3676 0.0970 0.7845 1
Br3 Br 0.7275 0.3779 0.7871 1
Br4 Br 0.9598 0.2324 0.2157 1
```



Record 8
Compound: InIBr2
Source: Alexandria
Functional: GGA-PBE
Structure: relaxed

As for the crystal system: triclinic. For the formation energy without anion corrections, the calculation gives -15.241 kcal/mol of atoms. The polymorph energy (0 for the lowest one) is 16 kJ/mol of formula units.

Cell and atoms, written as CIF:
```
data_InIBr2
_cell_length_a 6.9551
_cell_length_b 7.9507
_cell_length_c 8.0934
_cell_angle_alpha 68.75
_cell_angle_beta 87.60
_cell_angle_gamma 84.13
_space_group_name_H-M_alt 'P 1'
_space_group_IT_number 1
loop_
_space_group_symop_operation_xyz
'x,y,z'
loop_
_atom_site_label
_atom_site_type_symbol
_atom_site_fract_x
_atom_site_fract_y
_atom_site_fract_z
_atom_site_occupancy
In1 In 0.0000 0.0000 0.0000 1
In2 In 0.4916 0.8795 0.3651 1
I1 I 0.0605 0.6658 0.9945 1
I2 I 0.0957 0.3043 0.7446 1
Br1 Br 0.1176 0.0035 0.3145 1
Br2 Br 0.5399 0.5582 0.3933 1
Br3 Br 0.5906 0.9938 0.5931 1
Br4 Br 0.6218 0.0941 0.0533 1
```



Record 9
Compound: In2I2Br
Source: Alexandria
Functional: GGA-PBE
Structure: relaxed

As for the crystal system: tetragonal. For the formation energy without anion corrections, the calculation gives -11.002 kcal/mol of atoms. The polymorph energy (0 for the lowest one) is 31 kJ/mol of formula units.

Cell and atoms, written as CIF:
```
data_In2I2Br
_cell_length_a 4.4080
_cell_length_b 4.4080
_cell_length_c 9.6446
_cell_angle_alpha 90.00
_cell_angle_beta 90.00
_cell_angle_gamma 90.00
_space_group_name_H-M_alt 'P 4/m m m'
_space_group_IT_number 123
_space_group_name_Hall '-P 4 2'
loop_
_atom_site_label
_atom_site_type_symbol
_atom_site_fract_x
_atom_site_fract_y
_atom_site_fract_z
_atom_site_occupancy
In1 In 0.0000 0.0000 0.0000 1
In2 In 0.5000 0.5000 0.5000 1
I1 I 0.0000 0.0000 0.3122 1
Br1 Br 0.5000 0.5000 0.0000 1
```



Record 10
Compound: InIBr
Source: Alexandria
Functional: GGA-PBE
Structure: relaxed

As for the crystal system: orthorhombic. For the formation energy without anion corrections, the calculation gives -12.384 kcal/mol of atoms.

Cell and atoms, written as CIF:
```
data_InIBr
_cell_length_a 4.3152
_cell_length_b 5.5986
_cell_length_c 5.4083
_cell_angle_alpha 90.00
_cell_angle_beta 90.00
_cell_angle_gamma 90.00
_space_group_name_H-M_alt 'P m m 2'
_space_group_IT_number 25
loop_
_space_group_symop_operation_xyz
'x,y,z'
'-x,-y,z'
'-x,y,z'
'x,-y,z'
loop_
_atom_site_label
_atom_site_type_symbol
_atom_site_fract_x
_atom_site_fract_y
_atom_site_fract_z
_atom_site_occupancy
In1 In 0.0000 0.0000 0.0000 1
I1 I 0.0000 0.5000 0.8465 1
Br1 Br 0.5000 0.0000 0.3312 1
```